Here is K2LiSc after structural relaxation from Alexandria via LeMat-Bulk. Energies are from PBE.

```
K2LiSc
1.0
3.688 0.000 0.000
0.000 6.364 0.000
0.000 0.000 6.711
K Li Sc
2 1 1
direct
0.000 0.000 0.000
0.500 0.500 0.000
0.000 0.500 0.500
0.500 0.000 0.500
```

## Properties
The value obtained for the energy of formation from the pure elements is 0.57 eV/atom. The volume comes out at 39.38 A^3/atom.